No. 1
A plane-wave DFT calculation with SCAN was carried out for a PBEsol-optimized structure of ErLuO3.

Lattice parameters (Å, degrees): 5.486 5.767 8.138 90.00 90.00 90.00
Element x y z (fractional)
Er (0.978, 0.058, 0.250)
Er (0.478, 0.442, 0.750)
Er (0.522, 0.558, 0.250)
Er (0.022, 0.942, 0.750)
Lu (0.500, 0.000, 0.000)
Lu (0.500, 0.000, 0.500)
Lu (0.000, 0.500, 0.000)
Lu (0.000, 0.500, 0.500)
O (0.649, 0.076, 0.750)
O (0.187, 0.191, 0.580)
O (0.187, 0.191, 0.920)
O (0.687, 0.309, 0.420)
O (0.687, 0.309, 0.080)
O (0.149, 0.424, 0.250)
O (0.851, 0.576, 0.750)
O (0.313, 0.691, 0.580)
O (0.313, 0.691, 0.920)
O (0.813, 0.809, 0.080)
O (0.813, 0.809, 0.420)
O (0.351, 0.924, 0.250)

**Formation energy without anion corrections**: -3.946 eV per atom
**DOS at the Fermi energy**: 0.00 states/eV/f.u.

No. 2
A plane-wave DFT calculation with SCAN was carried out for a PBEsol-optimized structure of AgW2Br2.

Lattice parameters (Å, degrees): 3.567 3.567 8.696 101.83 101.83 90.00
Element x y z (fractional)
Br (0.391, 0.391, 0.783)
Br (0.609, 0.609, 0.217)
Ag (0.000, 0.000, 0.000)
W (0.250, 0.750, 0.500)
W (0.750, 0.250, 0.500)

**Formation energy without anion corrections**: 1.039 eV per atom
**DOS at the Fermi energy**: 4.15 states/eV/f.u.

No. 3
A plane-wave DFT calculation with SCAN was carried out for a PBEsol-optimized structure of ReRuRh2.

Lattice parameters (Å, degrees): 2.690 4.290 4.719 90.00 90.00 90.00
Element x y z (fractional)
Re (0.500, 0.500, 0.214)
Rh (0.000, 0.000, 0.038)
Rh (0.000, 0.500, 0.709)
Ru (0.500, 0.000, 0.538)

**Formation energy**: -101.6 meV per atom
**DOS at the Fermi energy**: 3.16 states/eV/f.u.
**ΔE to the lowest computed polymorph**: 0.0 kJ/mol of atoms

No. 4
A plane-wave DFT calculation with SCAN was carried out for a PBEsol-optimized structure of YMg6Cu6.

Lattice parameters (Å, degrees): 5.178 5.178 9.093 90.00 90.00 120.00
Element x y z (fractional)
Cu (0.000, 0.500, 0.761)
Cu (0.500, 0.000, 0.761)
Cu (0.500, 0.500, 0.761)
Cu (0.500, 0.000, 0.239)
Cu (0.000, 0.500, 0.239)
Cu (0.500, 0.500, 0.239)
Mg (0.000, 0.000, 0.660)
Mg (0.000, 0.000, 0.340)
Mg (0.333, 0.667, 0.000)
Mg (0.667, 0.333, 0.000)
Mg (0.333, 0.667, 0.500)
Mg (0.667, 0.333, 0.500)
Y (0.000, 0.000, 0.000)

**Formation energy**: -135.9 meV per atom
**DOS at the Fermi energy**: 6.68 states/eV/f.u.

No. 5
A plane-wave DFT calculation with SCAN was carried out for a PBEsol-optimized structure of La2SbTeP.

Lattice parameters (Å, degrees): 4.847 5.970 5.970 90.00 90.00 90.00
Element x y z (fractional)
Sb (0.000, 0.000, 0.000)
Te (0.500, 0.500, 0.500)
P (0.500, 0.000, 0.000)
La (0.000, 0.000, 0.500)
La (0.000, 0.500, 0.000)

**Formation energy without anion corrections**: -0.494 eV per atom
**DOS at the Fermi energy**: 2.05 states/eV/f.u.

No. 6
A plane-wave DFT calculation with SCAN was carried out for a PBEsol-optimized structure of Cd5Fe2P8O28.

Lattice parameters (Å, degrees): 6.663 6.663 24.008 90.00 90.00 97.20
Each line ends with the local moment (μB).
Element x y z (fractional)
Cd (0.691, 0.691, 0.500)  0.00
Cd (0.309, 0.309, 0.000)  0.00
Cd (0.082, 0.082, 0.500)  0.00
Cd (0.918, 0.918, 0.000)  0.00
Cd (0.706, 0.294, 0.750)  0.00
Cd (0.294, 0.706, 0.250)  0.00
Cd (0.040, 0.342, 0.633)  0.00
Cd (0.960, 0.658, 0.133)  0.00
Cd (0.658, 0.960, 0.867)  0.00
Cd (0.342, 0.040, 0.367)  0.00
Fe (0.257, 0.583, 0.876)  4.20
Fe (0.743, 0.417, 0.376)  4.20
Fe (0.417, 0.743, 0.624)  4.20
Fe (0.583, 0.257, 0.124)  4.20
P (0.204, 0.295, 0.768)  0.01
P (0.796, 0.705, 0.268)  0.01
P (0.705, 0.796, 0.732)  0.01
P (0.295, 0.204, 0.232)  0.01
P (0.745, 0.480, 0.885)  0.01
P (0.255, 0.520, 0.385)  0.01
P (0.520, 0.255, 0.615)  0.01
P (0.480, 0.745, 0.115)  0.01
P (0.197, 0.602, 0.508)  0.00
P (0.803, 0.398, 0.008)  0.00
P (0.398, 0.803, 0.992)  0.00
P (0.602, 0.197, 0.492)  0.00
P (0.928, 0.834, 0.625)  0.01
P (0.072, 0.166, 0.125)  0.01
P (0.166, 0.072, 0.875)  0.01
P (0.834, 0.928, 0.375)  0.01
O (0.251, 0.491, 0.803)  0.17
O (0.749, 0.509, 0.303)  0.17
O (0.509, 0.749, 0.697)  0.17
O (0.491, 0.251, 0.197)  0.17
O (0.006, 0.032, 0.596)  0.01
O (0.994, 0.968, 0.096)  0.01
O (0.968, 0.994, 0.904)  0.01
O (0.032, 0.006, 0.404)  0.01
O (0.034, 0.309, 0.727)  0.01
O (0.966, 0.691, 0.227)  0.01
O (0.691, 0.966, 0.773)  0.01
O (0.309, 0.034, 0.273)  0.01
O (0.779, 0.616, 0.758)  0.01
O (0.221, 0.384, 0.258)  0.01
O (0.384, 0.221, 0.742)  0.01
O (0.616, 0.779, 0.242)  0.01
O (0.693, 0.414, 0.949)  0.01
O (0.307, 0.586, 0.449)  0.01
O (0.586, 0.307, 0.551)  0.01
O (0.414, 0.693, 0.051)  0.01
O (0.383, 0.699, 0.541)  0.07
O (0.617, 0.301, 0.041)  0.07
O (0.301, 0.617, 0.959)  0.07
O (0.699, 0.383, 0.459)  0.07
O (0.098, 0.693, 0.629)  0.08
O (0.902, 0.307, 0.129)  0.08
O (0.307, 0.902, 0.871)  0.08
O (0.693, 0.098, 0.371)  0.08
O (0.731, 0.727, 0.599)  0.07
O (0.269, 0.273, 0.099)  0.07
O (0.273, 0.269, 0.901)  0.07
O (0.727, 0.731, 0.401)  0.07
O (0.965, 0.576, 0.885)  0.12
O (0.035, 0.424, 0.385)  0.12
O (0.424, 0.035, 0.615)  0.12
O (0.576, 0.965, 0.115)  0.12
O (0.375, 0.411, 0.628)  0.06
O (0.625, 0.589, 0.128)  0.06
O (0.589, 0.625, 0.872)  0.06
O (0.411, 0.375, 0.372)  0.06
O (0.034, 0.742, 0.503)  0.00
O (0.966, 0.258, 0.003)  0.00
O (0.258, 0.966, 0.997)  0.00
O (0.742, 0.034, 0.497)  0.00
O (0.108, 0.396, 0.530)  0.00
O (0.892, 0.604, 0.030)  0.00
O (0.604, 0.892, 0.970)  0.00
O (0.396, 0.108, 0.470)  0.00
O (0.106, 0.125, 0.813)  0.01
O (0.894, 0.875, 0.313)  0.01
O (0.875, 0.894, 0.687)  0.01
O (0.125, 0.106, 0.187)  0.01
O (0.711, 0.295, 0.650)  0.01
O (0.289, 0.705, 0.150)  0.01
O (0.705, 0.289, 0.850)  0.01
O (0.295, 0.711, 0.350)  0.01

**Formation energy without anion corrections**: -2.183 eV per atom

No. 7
A plane-wave DFT calculation with SCAN was carried out for a PBEsol-optimized structure of RuSeBr2.

Lattice parameters (Å, degrees): 3.725 3.725 8.050 76.62 76.62 60.00
Element x y z (fractional)
Ru (0.500, 0.500, 0.500)
Se (0.000, 0.000, 0.000)
Br (0.889, 0.889, 0.332)
Br (0.111, 0.111, 0.668)

**Formation energy without anion corrections**: 0.392 eV per atom
**DOS at the Fermi energy**: 2.31 states/eV/f.u.
**ΔE to the lowest computed polymorph**: 7.0 kJ/mol of atoms

No. 8
A plane-wave DFT calculation with SCAN was carried out for a PBEsol-optimized structure of BaSr5.

Lattice parameters (Å, degrees): 5.964 5.980 9.422 90.00 108.45 90.00
Element x y z (fractional)
Sr (0.332, 0.500, 0.664)
Sr (0.169, 0.000, 0.337)
Sr (0.000, 0.500, 0.000)
Sr (0.831, 0.000, 0.663)
Sr (0.668, 0.500, 0.336)
Ba (0.500, 0.000, 0.000)

**Formation energy**: 10.6 meV per atom
**DOS at the Fermi energy**: 5.22 states/eV/f.u.
**ΔE to the lowest computed polymorph**: 1.9 kJ/mol of atoms

No. 9
A plane-wave DFT calculation with SCAN was carried out for a PBEsol-optimized structure of RhWO3.

Lattice parameters (Å, degrees): 3.842 3.842 3.842 90.00 90.00 90.00
Each line ends with the local moment (μB).
Element x y z (fractional)
Rh (0.000, 0.000, 0.000)  -0.15
O (0.000, 0.500, 0.000)  -0.06
O (0.000, 0.000, 0.500)  -0.06
O (0.500, 0.000, 0.000)  -0.06
W (0.500, 0.500, 0.500)  2.74

**Formation energy without anion corrections**: 0.330 eV per atom
**DOS at the Fermi energy**: 2.98 states/eV/f.u.

No. 10
A plane-wave DFT calculation with SCAN was carried out for a PBEsol-optimized structure of CaVSi4O10.

Lattice parameters (Å, degrees): 7.378 7.378 15.282 90.00 90.00 90.00
Each line ends with the local moment (μB).
Element x y z (fractional)
Ca (0.500, 0.500, 0.500)  0.01
Ca (0.000, 0.000, 0.500)  0.01
Ca (0.000, 0.000, 0.000)  0.01
Ca (0.500, 0.500, 0.000)  0.01
V (0.500, 0.000, 0.580)  2.49
V (0.000, 0.500, 0.920)  2.49
V (0.000, 0.500, 0.420)  2.49
V (0.500, 0.000, 0.080)  2.49
Si (0.172, 0.251, 0.648)  0.00
Si (0.828, 0.749, 0.648)  0.00
Si (0.251, 0.172, 0.852)  0.00
Si (0.751, 0.328, 0.648)  0.00
Si (0.249, 0.672, 0.648)  0.00
Si (0.328, 0.751, 0.852)  0.00
Si (0.672, 0.249, 0.852)  0.00
Si (0.749, 0.828, 0.852)  0.00
Si (0.328, 0.249, 0.352)  0.00
Si (0.672, 0.751, 0.352)  0.00
Si (0.249, 0.328, 0.148)  0.00
Si (0.749, 0.172, 0.352)  0.00
Si (0.251, 0.828, 0.352)  0.00
Si (0.172, 0.749, 0.148)  0.00
Si (0.828, 0.251, 0.148)  0.00
Si (0.751, 0.672, 0.148)  0.00
O (0.251, 0.103, 0.581)  -0.01
O (0.749, 0.897, 0.581)  -0.01
O (0.103, 0.251, 0.919)  -0.01
O (0.603, 0.249, 0.581)  -0.01
O (0.397, 0.751, 0.581)  -0.01
O (0.249, 0.603, 0.919)  -0.01
O (0.751, 0.397, 0.919)  -0.01
O (0.897, 0.749, 0.919)  -0.01
O (0.249, 0.397, 0.419)  -0.01
O (0.751, 0.603, 0.419)  -0.01
O (0.397, 0.249, 0.081)  -0.01
O (0.897, 0.251, 0.419)  -0.01
O (0.103, 0.749, 0.419)  -0.01
O (0.251, 0.897, 0.081)  -0.01
O (0.749, 0.103, 0.081)  -0.01
O (0.248, 0.047, 0.373)  0.00
O (0.603, 0.751, 0.081)  -0.01
O (0.748, 0.547, 0.627)  0.00
O (0.453, 0.252, 0.873)  0.00
O (0.953, 0.248, 0.627)  0.00
O (0.047, 0.752, 0.627)  0.00
O (0.248, 0.953, 0.873)  0.00
O (0.752, 0.047, 0.873)  0.00
O (0.547, 0.748, 0.873)  0.00
O (0.705, 0.705, 0.250)  0.01
O (0.795, 0.205, 0.250)  0.01
O (0.205, 0.795, 0.250)  0.01
O (0.295, 0.295, 0.250)  0.01
O (0.795, 0.795, 0.750)  0.01
O (0.705, 0.295, 0.750)  0.01
O (0.295, 0.705, 0.750)  0.01
O (0.205, 0.205, 0.750)  0.01
O (0.953, 0.752, 0.127)  0.00
O (0.748, 0.453, 0.127)  0.00
O (0.252, 0.547, 0.127)  0.00
O (0.453, 0.748, 0.373)  0.00
O (0.547, 0.252, 0.373)  0.00
O (0.047, 0.248, 0.127)  0.00
O (0.752, 0.953, 0.373)  0.00
O (0.252, 0.453, 0.627)  0.00

**Formation energy without anion corrections**: -2.962 eV per atom

No. 11
A plane-wave DFT calculation with SCAN was carried out for a PBEsol-optimized structure of KBa2Se.

Lattice parameters (Å, degrees): 4.101 4.101 11.196 90.00 90.00 90.00
Each line ends with the local moment (μB).
Element x y z (fractional)
Ba (0.000, 0.000, 0.902)  0.04
Ba (0.500, 0.500, 0.239)  0.10
K (0.000, 0.000, 0.587)  0.02
Se (0.500, 0.500, 0.772)  0.02

**Formation energy without anion corrections**: -0.938 eV per atom
**DOS at the Fermi energy**: 1.01 states/eV/f.u.

No. 12
A plane-wave DFT calculation with SCAN was carried out for a PBEsol-optimized structure of Sr2P.

Lattice parameters (Å, degrees): 3.849 4.991 4.991 90.00 90.00 90.00
Each line ends with the local moment (μB).
Element x y z (fractional)
P (0.000, 0.000, 0.000)  0.03
Sr (0.500, 0.000, 0.500)  0.07
Sr (0.500, 0.500, 0.000)  0.07

**Formation energy**: -860.8 meV per atom
**DOS at the Fermi energy**: 0.90 states/eV/f.u.

No. 13
A plane-wave DFT calculation with SCAN was carried out for a PBEsol-optimized structure of CdHgRu.

Lattice parameters (Å, degrees): 2.946 2.946 6.473 103.15 103.15 90.00
Each line ends with the local moment (μB).
Element x y z (fractional)
Cd (0.012, 0.012, 0.023)  -0.02
Hg (0.323, 0.323, 0.645)  0.01
Ru (0.666, 0.666, 0.332)  1.45

**Formation energy**: 396.5 meV per atom
**DOS at the Fermi energy**: 1.76 states/eV/f.u.
**ΔE to the lowest computed polymorph**: 0.0 kJ/mol of atoms

No. 14
A plane-wave DFT calculation with SCAN was carried out for a PBEsol-optimized structure of ZrTe6Cl6.

Lattice parameters (Å, degrees): 10.891 11.054 12.882 90.00 90.00 90.00
Element x y z (fractional)
Cl (0.946, 0.426, 0.750)
Cl (0.054, 0.574, 0.250)
Cl (0.446, 0.574, 0.750)
Cl (0.554, 0.426, 0.250)
Cl (0.656, 0.092, 0.750)
Cl (0.344, 0.908, 0.250)
Cl (0.156, 0.908, 0.750)
Cl (0.844, 0.092, 0.250)
Cl (0.667, 0.361, 0.883)
Cl (0.333, 0.639, 0.383)
Cl (0.167, 0.639, 0.617)
Cl (0.833, 0.361, 0.117)
Cl (0.333, 0.639, 0.117)
Cl (0.667, 0.361, 0.617)
Cl (0.833, 0.361, 0.383)
Cl (0.167, 0.639, 0.883)
Cl (0.919, 0.157, 0.615)
Cl (0.081, 0.843, 0.115)
Cl (0.419, 0.843, 0.885)
Cl (0.581, 0.157, 0.385)
Cl (0.081, 0.843, 0.385)
Cl (0.919, 0.157, 0.885)
Cl (0.581, 0.157, 0.115)
Cl (0.419, 0.843, 0.615)
Te (0.597, 0.815, 0.099)
Te (0.403, 0.185, 0.599)
Te (0.097, 0.185, 0.401)
Te (0.903, 0.815, 0.901)
Te (0.403, 0.185, 0.901)
Te (0.597, 0.815, 0.401)
Te (0.903, 0.815, 0.599)
Te (0.097, 0.185, 0.099)
Te (0.630, 0.611, 0.969)
Te (0.370, 0.389, 0.469)
Te (0.130, 0.389, 0.531)
Te (0.870, 0.611, 0.031)
Te (0.370, 0.389, 0.031)
Te (0.630, 0.611, 0.531)
Te (0.870, 0.611, 0.469)
Te (0.130, 0.389, 0.969)
Te (0.750, 0.979, 0.000)
Te (0.250, 0.021, 0.500)
Te (0.250, 0.021, 0.000)
Te (0.750, 0.979, 0.500)
Te (0.766, 0.721, 0.250)
Te (0.234, 0.279, 0.750)
Te (0.266, 0.279, 0.250)
Te (0.734, 0.721, 0.750)
Zr (0.795, 0.262, 0.750)
Zr (0.205, 0.738, 0.250)
Zr (0.295, 0.738, 0.750)
Zr (0.705, 0.262, 0.250)

**Formation energy without anion corrections**: -0.914 eV per atom

No. 15
A plane-wave DFT calculation with SCAN was carried out for a PBEsol-optimized structure of InTcAg.

Lattice parameters (Å, degrees): 4.432 4.432 4.432 60.00 60.00 60.00
Each line ends with the local moment (μB).
Element x y z (fractional)
Ag (0.000, 0.000, 0.000)  0.05
In (0.500, 0.500, 0.500)  -0.07
Tc (0.250, 0.250, 0.250)  2.06

**Formation energy**: 740.9 meV per atom
**DOS at the Fermi energy**: 1.25 states/eV/f.u.
**ΔE to the lowest computed polymorph**: 22.8 kJ/mol of atoms

No. 16
A plane-wave DFT calculation with SCAN was carried out for a PBEsol-optimized structure of La2W2O9.

Lattice parameters (Å, degrees): 6.987 7.245 7.307 70.63 84.78 83.21
Element x y z (fractional)
La (0.845, 0.741, 0.846)
La (0.155, 0.259, 0.154)
La (0.378, 0.726, 0.596)
La (0.622, 0.274, 0.404)
W (0.158, 0.204, 0.643)
W (0.842, 0.796, 0.357)
W (0.725, 0.269, 0.942)
W (0.275, 0.731, 0.058)
O (0.350, 0.354, 0.640)
O (0.650, 0.646, 0.360)
O (0.017, 0.273, 0.850)
O (0.983, 0.727, 0.150)
O (0.494, 0.768, 0.902)
O (0.506, 0.232, 0.098)
O (0.662, 0.492, 0.747)
O (0.338, 0.508, 0.253)
O (0.271, 0.919, 0.174)
O (0.729, 0.081, 0.826)
O (0.814, 0.421, 0.091)
O (0.186, 0.579, 0.909)
O (0.975, 0.294, 0.465)
O (0.025, 0.706, 0.535)
O (0.854, 0.059, 0.202)
O (0.146, 0.941, 0.798)
O (0.319, 0.095, 0.469)
O (0.681, 0.905, 0.531)

**Formation energy without anion corrections**: -3.014 eV per atom
**DOS at the Fermi energy**: 0.00 states/eV/f.u.

| no. | M_tot (μB per formula unit) |
| --- | --- |
| 1 | 0.00 |
| 2 | 0.00 |
| 3 | 0.00 |
| 4 | 0.00 |
| 5 | 0.00 |
| 6 | 10.00 |
| 7 | 0.00 |
| 8 | 0.68 |
| 9 | 2.92 |
| 10 | 3.00 |
| 11 | 0.96 |
| 12 | 0.73 |
| 13 | 1.43 |
| 14 | 0.00 |
| 15 | 2.09 |
| 16 | 0.00 |